Arrangement w

First-principles (PBE) data for an optimized crystal structure of CaTcIr, as listed in Alexandria.

The value obtained for the magnetic moment is 0.000 μB/atom.

Unit cell a=5.8737 b=5.8737 c=5.8737 alpha=151.94 beta=141.43 gamma=48.37
With the nearest neighbours (Å) after each atom.
Fractional positions:
Ca 0.0000 0.0000 0.0000  2 Ca 2.85, 1 Tc 3.07, 1 Ir 3.17
Tc 0.2868 0.2868 0.0000  4 Ir 2.56, 2 Tc 2.85
Ir 0.7043 0.7043 0.0000  4 Tc 2.56, 2 Ir 2.85


Arrangement x

First-principles (PBE) data for an optimized crystal structure of CaTcIr, as listed in Alexandria.

The value obtained for the magnetic moment is 0.000 μB/atom.

Unit cell a=6.1814 b=4.4080 c=9.4443 alpha=90.00 beta=90.00 gamma=90.00
With the nearest neighbours (Å) after each atom.
Fractional positions:
Ca 0.1462 0.2500 0.1050  5 Ir 2.94-3.19, 3 Tc 3.16-3.21
Ca 0.3538 0.7500 0.6050  5 Ir 2.94-3.19, 3 Tc 3.16-3.21
Ca 0.6462 0.2500 0.3950  5 Ir 2.94-3.19, 3 Tc 3.16-3.21
Ca 0.8538 0.7500 0.8950  5 Ir 2.94-3.19, 3 Tc 3.16-3.21
Tc 0.0064 0.7500 0.3524  3 Ir 2.42-2.48
Tc 0.4936 0.2500 0.8524  3 Ir 2.42-2.48
Tc 0.5064 0.7500 0.1476  3 Ir 2.42-2.48
Tc 0.9936 0.2500 0.6476  3 Ir 2.42-2.48
Ir 0.1608 0.2500 0.4158  3 Tc 2.42-2.48
Ir 0.3392 0.7500 0.9158  3 Tc 2.42-2.48
Ir 0.6608 0.2500 0.0842  3 Tc 2.42-2.48
Ir 0.8392 0.7500 0.5842  3 Tc 2.42-2.48


Arrangement y

First-principles (PBE) data for an optimized crystal structure of CaTcIr, as listed in Alexandria.

The value obtained for the magnetic moment is 0.000 μB/atom.

Unit cell a=7.8337 b=7.8337 c=5.0200 alpha=94.07 beta=94.07 gamma=21.73
With the nearest neighbours (Å) after each atom.
Fractional positions:
Ca 0.0000 0.0000 0.0000  4 Ir 2.94-2.97, 2 Ca 2.95, 2 Tc 3.21
Ca 0.1454 0.1454 0.5270  2 Ca 2.95, 3 Tc 2.97-3.29, 6 Ir 3.01-3.11
Tc 0.3201 0.3201 0.8200  2 Tc 2.52, 2 Ir 2.62
Tc 0.8304 0.8304 0.4159  2 Tc 2.52, 3 Ir 2.54-2.59
Ir 0.4683 0.4683 0.4961  3 Tc 2.59-2.89
Ir 0.7068 0.7068 0.0525  3 Tc 2.54-2.62


Arrangement z

First-principles (PBE) data for an optimized crystal structure of CaTcIr, as listed in Alexandria.

The value obtained for the magnetic moment is 0.028 μB/atom.

Unit cell a=6.7766 b=6.7766 c=6.7766 alpha=155.04 beta=155.04 gamma=35.60
With the nearest neighbours (Å) after each atom.
Fractional positions:
Ca 0.0000 0.0000 0.0000  4 Ca 2.93, 4 Ir 3.12
Tc 0.6979 0.6979 0.0000  4 Ir 2.60
Ir 0.3192 0.3192 0.0000  4 Tc 2.60


Going by the energies, arrangement y is most stable and the next is 0.022 eV/atom up.


Arrangement w

First-principles (PBE) data for an optimized crystal structure of CaTcIr, as listed in Alexandria.

The value obtained for the magnetic moment is 1.062 μB/atom.

Unit cell a=4.5003 b=4.5003 c=4.5003 alpha=60.00 beta=60.00 gamma=60.00
With the nearest neighbours (Å) after each atom.
Fractional positions:
Ca 0.0000 0.0000 0.0000  4 Tc 2.76, 4 Ir 2.76
Tc 0.7500 0.7500 0.7500  4 Ca 2.76
Ir 0.2500 0.2500 0.2500  4 Ca 2.76


Arrangement x

First-principles (PBE) data for an optimized crystal structure of CaTcIr, as listed in Alexandria.

The value obtained for the magnetic moment is 0.000 μB/atom.

Unit cell a=5.1400 b=4.4909 c=5.8462 alpha=90.00 beta=113.87 gamma=90.00
With the nearest neighbours (Å) after each atom.
Fractional positions:
Ca 0.0000 0.0000 0.0000  4 Ir 3.01-3.28, 4 Tc 3.02-3.32, 2 Ca 3.37
Ca 0.4951 0.5000 0.0144  2 Tc 2.93-3.16, 4 Ir 3.12-3.28
Tc 0.3753 0.0000 0.5532  4 Ir 2.55-2.65, 2 Tc 2.72
Tc 0.6745 0.5000 0.5578  4 Ir 2.55-2.65, 2 Tc 2.72
Ir 0.1218 0.5000 0.4407  4 Tc 2.55-2.65, 2 Ir 2.72
Ir 0.8227 0.0000 0.4424  4 Tc 2.55-2.65, 2 Ir 2.72


Going by the energies, arrangement x is most stable and the next is 1.507 eV/atom up.


Arrangement w

First-principles (PBE) data for an optimized crystal structure of CaTcIr, as listed in Alexandria.

The value obtained for the magnetic moment is 0.000 μB/atom.

Unit cell a=5.3975 b=4.0990 c=5.8795 alpha=90.00 beta=102.77 gamma=90.00
With the nearest neighbours (Å) after each atom.
Fractional positions:
Ca 0.0000 0.0000 0.0000  4 Tc 2.96-3.25, 3 Ir 3.12-3.19
Ca 0.4761 0.5000 0.8665  4 Ir 2.95-3.18, 3 Tc 3.20-3.25
Tc 0.1298 0.0000 0.5160  2 Tc 2.55, 4 Ir 2.63-2.73
Tc 0.8559 0.5000 0.3804  2 Tc 2.55, 4 Ir 2.57-2.75
Ir 0.3412 0.5000 0.3516  2 Ir 2.63, 4 Tc 2.63-2.75
Ir 0.6331 0.0000 0.5089  4 Tc 2.57-2.73, 2 Ir 2.63


Arrangement x

First-principles (PBE) data for an optimized crystal structure of CaTcIr, as listed in Alexandria.

The value obtained for the magnetic moment is 0.000 μB/atom.

Unit cell a=4.5663 b=4.5663 c=6.3463 alpha=90.00 beta=90.00 gamma=90.00
With the nearest neighbours (Å) after each atom.
Fractional positions:
Ca 0.2500 0.2500 0.1436  2 Ir 3.09-3.26, 4 Tc 3.21
Ca 0.7500 0.7500 0.8564  2 Ir 3.09-3.26, 4 Tc 3.21
Tc 0.2500 0.7500 0.5000  4 Ir 2.49
Tc 0.7500 0.2500 0.5000  4 Ir 2.49
Ir 0.2500 0.2500 0.6565  4 Tc 2.49
Ir 0.7500 0.7500 0.3435  4 Tc 2.49


Arrangement y

First-principles (PBE) data for an optimized crystal structure of CaTcIr, as listed in Alexandria.

The value obtained for the magnetic moment is 0.000 μB/atom.

Unit cell a=4.6575 b=4.6575 c=2.8469 alpha=90.00 beta=90.00 gamma=120.00
With the nearest neighbours (Å) after each atom.
Fractional positions:
Ca 0.0000 0.0000 0.0000  2 Ca 2.85, 6 Tc 3.02-3.06, 6 Ir 3.03-3.06
Tc 0.3333 0.6667 0.5159  3 Ir 2.69, 2 Tc 2.85
Ir 0.6667 0.3333 0.4886  3 Tc 2.69, 2 Ir 2.85


Going by the energies, arrangement x is most stable and the next is 0.035 eV/atom up.


Arrangement w

First-principles (PBE) data for an optimized crystal structure of CaTc2Ir, as listed in Alexandria.

The value obtained for the magnetic moment is 0.000 μB/atom.

Unit cell a=5.2320 b=5.2320 c=2.7549 alpha=90.00 beta=90.00 gamma=119.20
With the nearest neighbours (Å) after each atom.
Fractional positions:
Ca 0.0000 0.0000 0.0000  2 Ir 2.65, 2 Ca 2.75, 8 Tc 2.96
Tc 0.0000 0.5000 0.5000  4 Tc 2.65-2.75, 4 Ca 2.96, 4 Ir 2.96
Tc 0.5000 0.0000 0.5000  4 Tc 2.65-2.75, 4 Ca 2.96, 4 Ir 2.96
Ir 0.5000 0.5000 0.0000  2 Ca 2.65, 2 Ir 2.75, 8 Tc 2.96


Arrangement x

First-principles (PBE) data for an optimized crystal structure of CaTc2Ir, as listed in Alexandria.

The value obtained for the magnetic moment is 0.000 μB/atom.

Unit cell a=4.5266 b=4.5266 c=4.5266 alpha=60.00 beta=60.00 gamma=60.00
With the nearest neighbours (Å) after each atom.
Fractional positions:
Ca 0.0000 0.0000 0.0000  4 Tc 2.77, 4 Ir 2.77
Tc 0.5000 0.5000 0.5000  4 Tc 2.77, 4 Ir 2.77
Tc 0.7500 0.7500 0.7500  4 Tc 2.77, 4 Ca 2.77
Ir 0.2500 0.2500 0.2500  4 Tc 2.77, 4 Ca 2.77


Arrangement y

First-principles (PBE) data for an optimized crystal structure of CaTc2Ir, as listed in Alexandria.

The value obtained for the magnetic moment is 0.000 μB/atom.

Unit cell a=9.7567 b=9.7567 c=9.7567 alpha=16.68 beta=16.68 gamma=16.68
With the nearest neighbours (Å) after each atom.
Fractional positions:
Ca 0.0000 0.0000 0.0000  6 Ca 2.83, 6 Tc 3.12
Tc 0.2413 0.2413 0.2413  3 Ir 2.70, 6 Tc 2.83
Tc 0.7587 0.7587 0.7587  3 Ir 2.70, 6 Tc 2.83
Ir 0.5000 0.5000 0.5000  6 Tc 2.70, 6 Ir 2.83


Arrangement z

First-principles (PBE) data for an optimized crystal structure of CaTc2Ir, as listed in Alexandria.

The value obtained for the magnetic moment is 0.000 μB/atom.

Unit cell a=2.9951 b=2.9951 c=7.8243 alpha=90.00 beta=90.00 gamma=90.00
With the nearest neighbours (Å) after each atom.
Fractional positions:
Ca 0.0000 0.0000 0.0000  4 Ca 3.00, 4 Ir 3.01, 4 Tc 3.26
Tc 0.0000 0.0000 0.5009  4 Tc 2.56, 4 Ir 2.76
Tc 0.5000 0.5000 0.6839  4 Tc 2.56
Ir 0.5000 0.5000 0.2742  4 Tc 2.76, 4 Ir 3.00, 4 Ca 3.01


Going by the energies, arrangement z is most stable and the next is 0.183 eV/atom up.


Arrangement w

First-principles (PBE) data for an optimized crystal structure of CaTc2Ir, as listed in Alexandria.

The value obtained for the magnetic moment is 0.000 μB/atom.

Unit cell a=3.0853 b=4.4715 c=4.7804 alpha=90.00 beta=90.00 gamma=90.00
With the nearest neighbours (Å) after each atom.
Fractional positions:
Ca 0.0000 0.0000 0.0000  4 Ir 2.72, 4 Tc 2.84
Tc 0.0000 0.5000 0.5000  4 Tc 2.72, 4 Ir 2.84
Tc 0.5000 0.0000 0.5000  4 Tc 2.72, 4 Ca 2.84
Ir 0.5000 0.5000 0.0000  4 Ca 2.72, 4 Tc 2.84


Arrangement x

First-principles (PBE) data for an optimized crystal structure of CaTc2Ir, as listed in Alexandria.

The value obtained for the magnetic moment is 0.000 μB/atom.

Unit cell a=2.8592 b=4.2815 c=5.8791 alpha=90.00 beta=103.97 gamma=90.00
With the nearest neighbours (Å) after each atom.
Fractional positions:
Ca 0.0000 0.0000 0.0000  7 Tc 2.85-3.19, 2 Ca 2.86, 4 Ir 3.08-3.09
Tc 0.2505 0.0000 0.5003  2 Tc 2.43
Tc 0.3510 0.5000 0.7010  2 Tc 2.43, 2 Ir 2.70-2.71
Ir 0.6503 0.5000 0.2987  6 Tc 2.70-2.82, 2 Ir 2.86


Arrangement y

First-principles (PBE) data for an optimized crystal structure of CaTc2Ir, as listed in Alexandria.

The value obtained for the magnetic moment is 0.000 μB/atom.

Unit cell a=5.3554 b=5.3554 c=2.7428 alpha=98.01 beta=98.01 gamma=119.96
With the nearest neighbours (Å) after each atom.
Fractional positions:
Ca 0.0000 0.0000 0.0000  2 Ir 2.68, 2 Ca 2.74, 4 Tc 2.83
Tc 0.0000 0.5000 0.5000  4 Tc 2.68-2.74, 2 Ca 2.83, 2 Ir 2.83
Tc 0.5000 0.0000 0.5000  4 Tc 2.68-2.74, 2 Ca 2.83, 2 Ir 2.83
Ir 0.5000 0.5000 0.0000  2 Ca 2.68, 2 Ir 2.74, 4 Tc 2.83


Going by the energies, arrangement x is most stable and the next is 0.162 eV/atom up.


Arrangement w

First-principles (PBE) data for an optimized crystal structure of CaTc2Ir, as listed in Alexandria.

The value obtained for the magnetic moment is 0.354 μB/atom.

Unit cell a=4.5200 b=4.5200 c=4.5200 alpha=60.00 beta=60.00 gamma=60.00
With the nearest neighbours (Å) after each atom.
Fractional positions:
Ca 0.0000 0.0000 0.0000  8 Tc 2.77
Tc 0.2500 0.2500 0.2500  4 Ca 2.77, 4 Ir 2.77
Tc 0.7500 0.7500 0.7500  4 Ca 2.77, 4 Ir 2.77
Ir 0.5000 0.5000 0.5000  8 Tc 2.77


Arrangement x

First-principles (PBE) data for an optimized crystal structure of CaTc2Ir, as listed in Alexandria.

The value obtained for the magnetic moment is 0.000 μB/atom.

Unit cell a=3.8122 b=3.8122 c=4.6285 alpha=90.00 beta=90.00 gamma=90.00
With the nearest neighbours (Å) after each atom.
Fractional positions:
Ca 0.0000 0.0000 0.0000  4 Ir 2.70, 8 Tc 3.00
Tc 0.0000 0.5000 0.5000  4 Tc 2.70, 4 Ca 3.00, 4 Ir 3.00
Tc 0.5000 0.0000 0.5000  4 Tc 2.70, 4 Ca 3.00, 4 Ir 3.00
Ir 0.5000 0.5000 0.0000  4 Ca 2.70, 8 Tc 3.00


Arrangement y

First-principles (PBE) data for an optimized crystal structure of CaTc2Ir, as listed in Alexandria.

The value obtained for the magnetic moment is 0.000 μB/atom.

Unit cell a=5.2408 b=5.2408 c=5.2408 alpha=136.71 beta=136.71 gamma=62.88
With the nearest neighbours (Å) after each atom.
Fractional positions:
Ca 0.0000 0.0000 0.0000  4 Ir 2.73, 8 Tc 2.96
Tc 0.2500 0.7500 0.5000  4 Tc 2.73, 4 Ir 2.96, 4 Ca 2.96
Tc 0.7500 0.2500 0.5000  4 Tc 2.73, 4 Ir 2.96, 4 Ca 2.96
Ir 0.5000 0.5000 0.0000  4 Ca 2.73, 8 Tc 2.96


Arrangement z

First-principles (PBE) data for an optimized crystal structure of CaTc2Ir, as listed in Alexandria.

The value obtained for the magnetic moment is 0.000 μB/atom.

Unit cell a=6.0126 b=6.0126 c=6.0126 alpha=101.30 beta=101.30 gamma=127.46
With the nearest neighbours (Å) after each atom.
Fractional positions:
Ca 0.0000 0.0000 0.0000  2 Ir 2.66
Ca 0.7500 0.2500 0.5000  2 Ir 2.66
Tc 0.1831 0.6250 0.0581  2 Ir 2.49
Tc 0.3750 0.4331 0.5581  2 Ir 2.49
Tc 0.5669 0.1250 0.9419  2 Ir 2.49
Tc 0.8750 0.8169 0.4419  2 Ir 2.49
Ir 0.2500 0.7500 0.5000  4 Tc 2.49, 2 Ca 2.66
Ir 0.5000 0.5000 0.0000  4 Tc 2.49, 2 Ca 2.66


Going by the energies, arrangement y is most stable and the next is 0.036 eV/atom up.